The following is a PBE with a Hubbard U calculation of a relaxed structure of HfMoF2, from the Alexandria database.

abc: 9.2156 9.2156 9.2156
angles: 20.56 20.56 20.56
Positions (direct):
Hf: 0.0000 0.0000 0.0000
Mo: 0.5000 0.5000 0.5000
F: 0.0722 0.0722 0.0722
F: 0.9278 0.9278 0.9278

Symmetry ... No. 166
E above lowest polymorph ... 0.0 meV per atom